1.
ReRuPb2: single point on PBEsol structure, SCAN.

Computed properties:
- energy of formation (eV per atom) = 1.13

The structure in extended XYZ format:
```
4
Lattice="-2.6011 -1.4131 0.8451 2.6634 -3.6214 -3.0167 2.7259 0.8215 4.6048" Properties=species:S:1:pos:R:3 pbc="T T T"
Pb 1.3629 0.4107 2.3024
Ru 1.3941 -2.1065 1.2166
Re -1.3005 -0.7066 0.4225
Pb 1.3317 -1.8107 -1.5084
```

2.
ReSbPb2: single point on PBEsol structure, SCAN.

Computed properties:
- formation energy without anion corrections (kJ/mol of formula units) = 325

The structure in extended XYZ format:
```
4
Lattice="3.3546 0.0000 0.0000 0.0000 3.3546 0.0000 0.0000 0.0000 8.1337" Properties=species:S:1:pos:R:3 pbc="T T T"
Re 1.6773 1.6773 0.0000
Pb 0.0000 0.0000 6.4686
Pb 0.0000 0.0000 1.6651
Sb 1.6773 1.6773 4.0669
```

3.
ReSbPb3: single point on PBEsol structure, SCAN.

Computed properties:
- formation energy without anion corrections (kJ/mol of formula units) = 887

The structure in extended XYZ format:
```
5
Lattice="-3.7522 2.2701 3.5955 2.6298 -2.5293 4.3413 3.3415 4.5398 0.6208" Properties=species:S:1:pos:R:3 pbc="T T T"
Pb -1.8761 1.1350 1.7978
Pb 1.3149 -1.2647 2.1707
Re 1.1095 2.1403 4.2789
Sb 0.0000 0.0000 0.0000
Pb 1.6707 2.2699 0.3104
```

Number 1: M_tot 0.54 μB per formula unit. Number 2: M_tot 0.00 μB per formula unit. Number 3: M_tot 4.18 μB per formula unit.